A relaxed structure of Y2ErCo2B2P3. Source: OQMD, functional PBE.

abc: 11.2459 11.2459 11.2459
angles: 160.31 160.31 27.99
With the nearest neighbours (Å) after each atom.
Fractional coordinates of all 10 atoms:
Y (0.1373, 0.1373, 0.0000)  5 P 2.73-3.00
Y (0.8627, 0.8627, 0.0000)  5 P 2.73-3.00
Er (0.5000, 0.5000, 0.0000)  6 P 2.71-2.72
Co (0.2500, 0.7500, 0.5000)  4 B 2.07
Co (0.7500, 0.2500, 0.5000)  4 B 2.07
B (0.2854, 0.2854, 0.0000)  1 P 1.97, 4 Co 2.07
B (0.7146, 0.7146, 0.0000)  1 P 1.97, 4 Co 2.07
P (0.0000, 0.0000, 0.0000)  4 Er 2.72, 2 Y 3.00
P (0.3758, 0.3758, 0.0000)  1 B 1.97
P (0.6242, 0.6242, 0.0000)  1 B 1.97

energy = -7.0223 eV/atom

A relaxed structure of FeCo3B4. Source: OQMD, functional PBE.

abc: 3.9504 3.0310 5.2412
angles: 90.00 90.23 90.00
With the nearest neighbours (Å) after each atom.
Fractional coordinates of all 8 atoms:
Fe (0.0000, 0.0000, 0.0000)  7 B 2.11-2.14
Co (0.2480, 0.0000, 0.4972)  7 B 2.10-2.14
Co (0.4976, 0.5000, 0.1420)  7 B 2.10-2.14
Co (0.7493, 0.5000, 0.6434)  7 B 2.09-2.14
B (0.2541, 0.5000, 0.7845)  2 B 1.83
B (0.4969, 0.0000, 0.8538)  2 B 1.83
B (0.7490, 0.0000, 0.3552)  2 B 1.83
B (0.9937, 0.5000, 0.2893)  2 B 1.83

energy = -7.4236 eV/atom

A relaxed structure of Fe2CoB. Source: OQMD, functional PBE.

abc: 3.7775 3.7775 3.7775
angles: 60.00 60.00 60.00
With the nearest neighbours (Å) after each atom.
Fractional coordinates of all 4 atoms:
Fe (0.0000, 0.0000, 0.0000)  4 B 2.31, 4 Fe 2.31
Fe (0.2500, 0.2500, 0.2500)  4 Co 2.31, 4 Fe 2.31
Co (0.5000, 0.5000, 0.5000)  4 Fe 2.31, 4 B 2.31
B (0.7500, 0.7500, 0.7500)  4 Co 2.31, 4 Fe 2.31

energy = -7.5307 eV/atom

A relaxed structure of FeCoB2. Source: OQMD, functional PBE.

abc: 3.6145 3.6145 3.6145
angles: 60.00 60.00 60.00
With the nearest neighbours (Å) after each atom.
Fractional coordinates of all 4 atoms:
Fe (0.0000, 0.0000, 0.0000)  4 Co 2.21, 4 B 2.21
Co (0.2500, 0.2500, 0.2500)  4 B 2.21, 4 Fe 2.21
B (0.5000, 0.5000, 0.5000)  4 B 2.21, 4 Co 2.21
B (0.7500, 0.7500, 0.7500)  4 B 2.21, 4 Fe 2.21

distance to the lowest polymorph of the same formula = 951 meV/atom
energy = -6.6136 eV/atom

A relaxed structure of FeCoB2. Source: OQMD, functional PBE.

abc: 2.9947 5.3088 3.9567
angles: 90.00 90.00 90.00
With the nearest neighbours (Å) after each atom.
Fractional coordinates of all 8 atoms:
Fe (0.0000, 0.0687, 0.0000)  7 B 2.13-2.16
Fe (0.5000, 0.9313, 0.5000)  7 B 2.13-2.16
Co (0.0000, 0.5755, 0.2518)  7 B 2.09-2.13
Co (0.5000, 0.4245, 0.7518)  7 B 2.09-2.13
B (0.0000, 0.2230, 0.4962)  2 B 1.81
B (0.0000, 0.7100, 0.7544)  2 B 1.81
B (0.5000, 0.2900, 0.2544)  2 B 1.81
B (0.5000, 0.7770, 0.9962)  2 B 1.81

distance to the lowest polymorph of the same formula = 0 meV/atom
energy = -7.5646 eV/atom

A relaxed structure of FeCoB2. Source: OQMD, functional PBE.

abc: 2.9964 3.9285 3.9285
angles: 42.91 90.00 90.00
With the nearest neighbours (Å) after each atom.
Fractional coordinates of all 4 atoms:
Fe (0.0000, 0.0000, 0.0000)  7 B 2.09-2.14
Co (0.5000, 0.7214, 0.7214)  7 B 2.10-2.13
B (0.0000, 0.2864, 0.2864)  2 B 1.84
B (0.5000, 0.4314, 0.4314)  2 B 1.84

distance to the lowest polymorph of the same formula = 5 meV/atom
energy = -7.5601 eV/atom

A relaxed structure of FeCoB2. Source: OQMD, functional PBE.

abc: 3.0072 3.9408 5.3068
angles: 90.00 90.00 90.00
With the nearest neighbours (Å) after each atom.
Fractional coordinates of all 8 atoms:
Fe (0.0000, 0.1249, 0.0000)  7 B 2.11-2.14
Fe (0.0000, 0.8751, 0.5000)  7 B 2.11-2.14
Co (0.5000, 0.3715, 0.6436)  7 B 2.10-2.14
Co (0.5000, 0.6285, 0.1436)  7 B 2.10-2.14
B (0.0000, 0.3763, 0.3575)  2 B 1.82
B (0.0000, 0.6237, 0.8575)  2 B 1.82
B (0.5000, 0.1328, 0.2879)  2 B 1.82
B (0.5000, 0.8672, 0.7879)  2 B 1.82

distance to the lowest polymorph of the same formula = 0 meV/atom
energy = -7.5646 eV/atom

A relaxed structure of FeCo2B. Source: OQMD, functional PBE.

abc: 3.7754 3.7754 3.7754
angles: 60.00 60.00 60.00
With the nearest neighbours (Å) after each atom.
Fractional coordinates of all 4 atoms:
Fe (0.0000, 0.0000, 0.0000)  4 B 2.31, 4 Co 2.31
Co (0.2500, 0.2500, 0.2500)  4 Fe 2.31, 4 Co 2.31
Co (0.5000, 0.5000, 0.5000)  4 Co 2.31, 4 B 2.31
B (0.7500, 0.7500, 0.7500)  4 Fe 2.31, 4 Co 2.31

energy = -7.0249 eV/atom

A relaxed structure of FeCo2B. Source: OQMD, functional PBE.

abc: 5.2718 6.5774 4.4106
angles: 90.00 90.00 90.00
With the nearest neighbours (Å) after each atom.
Fractional coordinates of all 16 atoms:
Fe (0.0217, 0.2500, 0.1285)  2 B 2.11-2.12
Fe (0.4783, 0.7500, 0.6285)  2 B 2.11-2.12
Fe (0.5217, 0.2500, 0.3715)  2 B 2.11-2.12
Fe (0.9783, 0.7500, 0.8715)  2 B 2.11-2.12
Co (0.1815, 0.0557, 0.6480)  3 B 2.04-2.27
Co (0.1815, 0.4443, 0.6480)  3 B 2.04-2.27
Co (0.3185, 0.5557, 0.1480)  3 B 2.04-2.27
Co (0.3185, 0.9443, 0.1480)  3 B 2.04-2.27
Co (0.6815, 0.0557, 0.8520)  3 B 2.04-2.27
Co (0.6815, 0.4443, 0.8520)  3 B 2.04-2.27
Co (0.8185, 0.5557, 0.3520)  3 B 2.04-2.27
Co (0.8185, 0.9443, 0.3520)  3 B 2.04-2.27
B (0.1155, 0.7500, 0.4220)  6 Co 2.04-2.27, 2 Fe 2.11-2.12
B (0.3845, 0.2500, 0.9220)  6 Co 2.04-2.27, 2 Fe 2.11-2.12
B (0.6155, 0.7500, 0.0780)  6 Co 2.04-2.27, 2 Fe 2.11-2.12
B (0.8845, 0.2500, 0.5780)  6 Co 2.04-2.27, 2 Fe 2.11-2.12

energy = -7.5136 eV/atom

A relaxed structure of FeCoB2. Source: OQMD, functional PBE.

abc: 3.9568 3.0074 5.2754
angles: 90.00 90.61 90.00
With the nearest neighbours (Å) after each atom.
Fractional coordinates of all 8 atoms:
Fe (0.1235, 0.2500, 0.1779)  7 B 2.10-2.15
Fe (0.8765, 0.7500, 0.8221)  7 B 2.10-2.15
Co (0.3777, 0.2500, 0.6780)  7 B 2.11-2.14
Co (0.6223, 0.7500, 0.3220)  7 B 2.11-2.14
B (0.1211, 0.7500, 0.4685)  2 B 1.82
B (0.3821, 0.7500, 0.9632)  2 B 1.81
B (0.6179, 0.2500, 0.0368)  2 B 1.81
B (0.8789, 0.2500, 0.5315)  2 B 1.82

distance to the lowest polymorph of the same formula = 4 meV/atom
energy = -7.5611 eV/atom

A relaxed structure of Hf2FeCo5B2. Source: OQMD, functional PBE.

abc: 8.5522 8.5522 3.1032
angles: 90.00 90.00 90.00
With the nearest neighbours (Å) after each atom.
Fractional coordinates of all 20 atoms:
Hf (0.1774, 0.3226, 0.0000)  3 B 2.47-2.58, 10 Co 2.65-2.76
Hf (0.3226, 0.8226, 0.0000)  3 B 2.47-2.58, 10 Co 2.65-2.76
Hf (0.6774, 0.1774, 0.0000)  3 B 2.47-2.58, 10 Co 2.65-2.76
Hf (0.8226, 0.6774, 0.0000)  3 B 2.47-2.58, 10 Co 2.65-2.76
Fe (0.0000, 0.0000, 0.0000)  8 Co 2.50
Fe (0.5000, 0.5000, 0.0000)  8 Co 2.50
Co (0.0000, 0.5000, 0.5000)  4 B 2.11
Co (0.0681, 0.7807, 0.5000)  2 B 2.13
Co (0.2193, 0.0681, 0.5000)  2 B 2.13
Co (0.2807, 0.5681, 0.5000)  2 B 2.13
Co (0.4319, 0.2807, 0.5000)  2 B 2.13
Co (0.5000, 0.0000, 0.5000)  4 B 2.11
Co (0.5681, 0.7193, 0.5000)  2 B 2.13
Co (0.7193, 0.4319, 0.5000)  2 B 2.13
Co (0.7807, 0.9319, 0.5000)  2 B 2.13
Co (0.9319, 0.2193, 0.5000)  2 B 2.13
B (0.1185, 0.6185, 0.0000)  6 Co 2.11-2.13
B (0.3815, 0.1185, 0.0000)  6 Co 2.11-2.13
B (0.6185, 0.8815, 0.0000)  6 Co 2.11-2.13
B (0.8815, 0.3815, 0.0000)  6 Co 2.11-2.13

energy = -8.1944 eV/atom

A relaxed structure of LiFeCoB. Source: OQMD, functional PBE.

abc: 3.7428 3.7428 3.7428
angles: 60.00 60.00 60.00
With the nearest neighbours (Å) after each atom.
Fractional coordinates of all 4 atoms:
Li (0.0000, 0.0000, 0.0000)  4 Fe 2.29, 4 B 2.29
Fe (0.2500, 0.2500, 0.2500)  4 Co 2.29, 4 Li 2.29
Co (0.5000, 0.5000, 0.5000)  4 Fe 2.29, 4 B 2.29
B (0.7500, 0.7500, 0.7500)  4 Co 2.29, 4 Li 2.29

distance to the lowest polymorph of the same formula = 46 meV/atom
energy = -5.8495 eV/atom

A relaxed structure of LiFeCoB. Source: OQMD, functional PBE.

abc: 3.6703 3.6703 3.6703
angles: 60.00 60.00 60.00
With the nearest neighbours (Å) after each atom.
Fractional coordinates of all 4 atoms:
Li (0.0000, 0.0000, 0.0000)  4 Fe 2.25, 4 Co 2.25
Fe (0.2500, 0.2500, 0.2500)  4 Li 2.25, 4 B 2.25
Co (0.7500, 0.7500, 0.7500)  4 Li 2.25, 4 B 2.25
B (0.5000, 0.5000, 0.5000)  4 Fe 2.25, 4 Co 2.25

distance to the lowest polymorph of the same formula = 0 meV/atom
energy = -5.8954 eV/atom

A relaxed structure of LuFeCoB. Source: OQMD, functional PBE.

abc: 4.0741 4.0741 4.0741
angles: 60.00 60.00 60.00
With the nearest neighbours (Å) after each atom.
Fractional coordinates of all 4 atoms:
Lu (0.0000, 0.0000, 0.0000)  4 Co 2.49, 4 Fe 2.49
Fe (0.2500, 0.2500, 0.2500)  4 B 2.49, 4 Lu 2.49
Co (0.7500, 0.7500, 0.7500)  4 B 2.49, 4 Lu 2.49
B (0.5000, 0.5000, 0.5000)  4 Fe 2.49, 4 Co 2.49

distance to the lowest polymorph of the same formula = 68 meV/atom
energy = -6.3057 eV/atom

A relaxed structure of LuFeCoB. Source: OQMD, functional PBE.

abc: 4.2079 4.2079 4.2079
angles: 60.00 60.00 60.00
With the nearest neighbours (Å) after each atom.
Fractional coordinates of all 4 atoms:
Lu (0.0000, 0.0000, 0.0000)  4 Co 2.58, 4 B 2.58
Fe (0.5000, 0.5000, 0.5000)  4 Co 2.58, 4 B 2.58
Co (0.7500, 0.7500, 0.7500)  4 Fe 2.58, 4 Lu 2.58
B (0.2500, 0.2500, 0.2500)  4 Fe 2.58, 4 Lu 2.58

distance to the lowest polymorph of the same formula = 0 meV/atom
energy = -6.3741 eV/atom

A relaxed structure of LuFeCoB. Source: OQMD, functional PBE.

abc: 4.2010 4.2010 4.2010
angles: 60.00 60.00 60.00
With the nearest neighbours (Å) after each atom.
Fractional coordinates of all 4 atoms:
Lu (0.0000, 0.0000, 0.0000)  4 Fe 2.57, 4 B 2.57
Fe (0.7500, 0.7500, 0.7500)  4 Co 2.57, 4 Lu 2.57
Co (0.5000, 0.5000, 0.5000)  4 Fe 2.57, 4 B 2.57
B (0.2500, 0.2500, 0.2500)  4 Co 2.57, 4 Lu 2.57

distance to the lowest polymorph of the same formula = 38 meV/atom
energy = -6.3366 eV/atom

A relaxed structure of MgFeCoB. Source: OQMD, functional PBE.

abc: 3.9521 3.9521 3.9521
angles: 60.00 60.00 60.00
With the nearest neighbours (Å) after each atom.
Fractional coordinates of all 4 atoms:
Mg (0.0000, 0.0000, 0.0000)  4 Co 2.42, 4 B 2.42
Fe (0.5000, 0.5000, 0.5000)  4 Co 2.42, 4 B 2.42
Co (0.7500, 0.7500, 0.7500)  4 Fe 2.42, 4 Mg 2.42
B (0.2500, 0.2500, 0.2500)  4 Fe 2.42, 4 Mg 2.42

distance to the lowest polymorph of the same formula = 0 meV/atom
energy = -5.5519 eV/atom

A relaxed structure of FeCoBMo. Source: OQMD, functional PBE.

abc: 3.9528 3.9528 3.9528
angles: 60.00 60.00 60.00
With the nearest neighbours (Å) after each atom.
Fractional coordinates of all 4 atoms:
Fe (0.0000, 0.0000, 0.0000)  4 B 2.42, 4 Co 2.42
Co (0.2500, 0.2500, 0.2500)  4 Fe 2.42, 4 Mo 2.42
B (0.7500, 0.7500, 0.7500)  4 Fe 2.42, 4 Mo 2.42
Mo (0.5000, 0.5000, 0.5000)  4 Co 2.42, 4 B 2.42

distance to the lowest polymorph of the same formula = 71 meV/atom
energy = -7.9738 eV/atom

A relaxed structure of FeCoBMo. Source: OQMD, functional PBE.

abc: 3.9580 3.9580 3.9580
angles: 60.00 60.00 60.00
With the nearest neighbours (Å) after each atom.
Fractional coordinates of all 4 atoms:
Fe (0.0000, 0.0000, 0.0000)  4 Co 2.42, 4 Mo 2.42
Co (0.7500, 0.7500, 0.7500)  4 Fe 2.42, 4 B 2.42
B (0.5000, 0.5000, 0.5000)  4 Mo 2.42, 4 Co 2.42
Mo (0.2500, 0.2500, 0.2500)  4 Fe 2.42, 4 B 2.42

distance to the lowest polymorph of the same formula = 0 meV/atom
energy = -8.0451 eV/atom

A relaxed structure of NbFeCoB. Source: OQMD, functional PBE.

abc: 3.9995 3.9995 3.9995
angles: 60.00 60.00 60.00
With the nearest neighbours (Å) after each atom.
Fractional coordinates of all 4 atoms:
Nb (0.0000, 0.0000, 0.0000)  4 Co 2.45, 4 Fe 2.45
Fe (0.2500, 0.2500, 0.2500)  4 Nb 2.45, 4 B 2.45
Co (0.7500, 0.7500, 0.7500)  4 Nb 2.45, 4 B 2.45
B (0.5000, 0.5000, 0.5000)  4 Fe 2.45, 4 Co 2.45

distance to the lowest polymorph of the same formula = 0 meV/atom
energy = -7.9107 eV/atom